GGA-PBEsol RbCaIn2P, optimized geometry; size of the total moment = 0.000 Bohr magnetons per cell; ΔE_f = 221 meV per atom
1.0
5.284 0.000 0.000
0.000 5.284 0.000
0.000 0.000 5.916
Rb Ca In P
1 1 2 1
direct
0.000 0.000 0.000 Rb
0.500 0.500 0.000 Ca
0.000 0.500 0.500 In
0.500 0.000 0.500 In
0.000 0.000 0.500 P